Entry 1:
A relaxed Cs2Cd4SnBi3 crystal. Source: Alexandria, functional PBE.

Output
* ΔE_f: -0.2126 eV per atom
* volume: 34.83 Å³ per atom

Lattice parameters (Å, degrees): 5.287 5.287 12.462 90.00 90.00 90.00
Space group P-4m2 (No. 115)
Asymmetric unit:
Cs 0.000 0.500 0.245 (multiplicity 2)
Cd 0.000 0.000 0.000 (multiplicity 1)
Cd 0.000 0.500 0.627 (multiplicity 2)
Cd 0.500 0.500 0.000 (multiplicity 1)
Sn 0.000 0.000 0.500 (multiplicity 1)
Bi 0.000 0.500 0.871 (multiplicity 2)
Bi 0.500 0.500 0.500 (multiplicity 1)

---

Entry 2:
A relaxed DyGaPd crystal. Source: Alexandria, functional PBE.

Output
* ΔE_f: -0.6974 eV per atom
* volume: 19.73 Å³ per atom

Lattice parameters (Å, degrees): 3.445 3.445 9.974 90.00 90.00 90.00
Space group I4mm (No. 107)
Asymmetric unit:
Dy 0.000 0.000 0.000 (multiplicity 2)
Ga 0.000 0.000 0.690 (multiplicity 2)
Pd 0.000 0.000 0.307 (multiplicity 2)

---

Entry 3:
A relaxed TlFe2As crystal. Source: Alexandria, functional PBE.

Output
* excess energy over the best structure of this formula in the dataset: 0.105 eV/atom
* ΔE_f: 0.3014 eV per atom
* volume: 18.59 Å³ per atom

Lattice parameters (Å, degrees): 7.979 3.041 6.722 90.00 114.21 90.00
Space group C2/m (No. 12)
Asymmetric unit:
Tl 0.000 0.000 0.000 (multiplicity 2)
Fe 0.236 0.500 0.354 (multiplicity 4)
As 0.000 0.500 0.500 (multiplicity 2)

---

Entry 4:
A relaxed LaFeIr3 crystal. Source: Alexandria, functional PBE.

Output
* excess energy over the best structure of this formula in the dataset: 1.860 eV/atom
* ΔE_f: 2.2028 eV per atom
* volume: 23.71 Å³ per atom

Lattice parameters (Å, degrees): 4.913 4.913 4.913 90.00 90.00 90.00
Space group Pm-3m (No. 221)
Asymmetric unit:
La 0.000 0.000 0.000 (multiplicity 1)
Fe 0.500 0.500 0.500 (multiplicity 1)
Ir 0.000 0.000 0.500 (multiplicity 3)

---

Entry 5:
A relaxed Ta2CuHPt crystal. Source: Alexandria, functional PBE.

Output
* excess energy over the best structure of this formula in the dataset: 0.000 eV/atom
* volume: 13.18 Å³ per atom

Lattice parameters (Å, degrees): 4.055 4.055 4.008 90.00 90.00 90.00
Space group P4/mmm (No. 123)
Asymmetric unit:
Ta 0.000 0.500 0.000 (multiplicity 2)
Cu 0.000 0.000 0.500 (multiplicity 1)
H 0.000 0.000 0.000 (multiplicity 1)
Pt 0.500 0.500 0.500 (multiplicity 1)

---

Entry 6:
A relaxed RbRuS2 crystal. Source: Alexandria, functional PBE.

Output
* volume: 26.18 Å³ per atom
* formation energy without anion corrections: -0.597 eV per atom

Lattice parameters (Å, degrees): 7.214 7.214 8.050 90.00 90.00 90.00
Space group I-42d (No. 122)
Asymmetric unit:
Rb 0.000 0.000 0.000 (multiplicity 4)
Ru 0.000 0.000 0.500 (multiplicity 4)
S 0.122 0.250 0.625 (multiplicity 8)

---

Entry 7:
A relaxed Co2SiHg crystal. Source: Alexandria, functional PBE.

Output
* excess energy over the best structure of this formula in the dataset: 0.613 eV/atom
* volume: 14.01 Å³ per atom
* formation energy without anion corrections: 0.515 eV per atom

Lattice parameters (Å, degrees): 6.075 6.075 6.075 90.00 90.00 90.00
Space group F-43m (No. 216)
Asymmetric unit:
Co 0.000 0.000 0.000 (multiplicity 4)
Co 0.250 0.250 0.250 (multiplicity 4)
Si 0.000 0.000 0.500 (multiplicity 4)
Hg 0.250 0.250 0.750 (multiplicity 4)

---

Entry 8:
A relaxed TbCo2GeH crystal. Source: Alexandria, functional PBE.

Output
* DFT total energy: -5.817 eV/atom
* volume: 13.10 Å³ per atom

Lattice parameters (Å, degrees): 3.705 10.278 6.881 90.00 90.00 90.00
Space group Cmcm (No. 63)
Asymmetric unit:
Tb 0.000 0.057 0.250 (multiplicity 4)
Co 0.000 0.341 0.056 (multiplicity 8)
Ge 0.000 0.224 0.750 (multiplicity 4)
H 0.000 0.500 0.000 (multiplicity 4)

---

Entry 9:
A relaxed ScHAu3 crystal. Source: Alexandria, functional PBE.

Output
* excess energy over the best structure of this formula in the dataset: 0.929 eV/atom
* volume: 29.27 Å³ per atom

Lattice parameters (Å, degrees): 5.270 5.270 5.270 90.00 90.00 90.00
Space group Pm-3m (No. 221)
Asymmetric unit:
Sc 0.000 0.000 0.000 (multiplicity 1)
H 0.500 0.500 0.500 (multiplicity 1)
Au 0.000 0.000 0.500 (multiplicity 3)

---

Entry 10:
A relaxed AsRuN2 crystal. Source: Alexandria, functional PBE.

Output
* volume: 12.15 Å³ per atom
* formation energy without anion corrections: 0.650 eV per atom

Lattice parameters (Å, degrees): 2.9785 2.9785 18.9741 90.00 90.00 120.00
Space group R-3m (No. 166, hexagonal axes)
Asymmetric unit:
As 0.0000 0.0000 0.0000 (multiplicity 3)
Ru 0.0000 0.0000 0.5000 (multiplicity 3)
N 0.0000 0.0000 0.1068 (multiplicity 6)

---

Entry 11:
A relaxed TeRu2W crystal. Source: Alexandria, functional PBE.

Output
* volume: 16.77 Å³ per atom
* formation energy without anion corrections: 0.425 eV per atom

Lattice parameters (Å, degrees): 2.981 4.024 5.759 90.00 103.84 90.00
Space group Pm (No. 6)
Asymmetric unit:
Te 0.000 0.000 0.000 (multiplicity 1)
Ru 0.420 0.500 0.822 (multiplicity 1)
Ru 0.804 0.000 0.536 (multiplicity 1)
W 0.162 0.500 0.347 (multiplicity 1)

---

Entry 12:
A relaxed NaYMnIn2 crystal. Source: Alexandria, functional PBE.

Output
* ΔE_f: 0.7130 eV per atom
* volume: 36.32 Å³ per atom

Lattice parameters (Å, degrees): 5.920 5.920 5.182 90.00 90.00 90.00
Space group P4/mmm (No. 123)
Asymmetric unit:
Na 0.000 0.000 0.000 (multiplicity 1)
Y 0.500 0.500 0.500 (multiplicity 1)
Mn 0.500 0.500 0.000 (multiplicity 1)
In 0.000 0.500 0.500 (multiplicity 2)

---

Entry 13:
A relaxed TbPmBi crystal. Source: Alexandria, functional PBE.

Output
* excess energy over the best structure of this formula in the dataset: 0.149 eV/atom
* ΔE_f: -0.4906 eV per atom
* volume: 30.23 Å³ per atom

Lattice parameters (Å, degrees): 4.141 4.141 10.577 90.00 90.00 90.00
Space group I4mm (No. 107)
Asymmetric unit:
Tb 0.000 0.000 0.000 (multiplicity 2)
Pm 0.000 0.000 0.314 (multiplicity 2)
Bi 0.000 0.000 0.653 (multiplicity 2)

---

Entry 14:
A relaxed K2NbTlO5 crystal. Source: Alexandria, functional PBE.

Output
* volume: 17.24 Å³ per atom
* formation energy without anion corrections: -1.691 eV per atom

Lattice parameters (Å, degrees): 3.235 14.166 13.543 90.00 90.00 90.00
Space group Cmc2_1 (No. 36)
Asymmetric unit:
K 0.000 0.067 0.000 (multiplicity 4)
K 0.000 0.159 0.614 (multiplicity 4)
Nb 0.000 0.240 0.361 (multiplicity 4)
Tl 0.000 0.466 0.770 (multiplicity 4)
O 0.000 0.082 0.369 (multiplicity 4)
O 0.000 0.263 0.958 (multiplicity 4)
O 0.000 0.282 0.766 (multiplicity 4)
O 0.000 0.369 0.345 (multiplicity 4)
O 0.000 0.488 0.128 (multiplicity 4)

---

Entry 15:
A relaxed ZrH2Se crystal. Source: Alexandria, functional PBE.

Output
* excess energy over the best structure of this formula in the dataset: 0.138 eV/atom
* volume: 12.44 Å³ per atom

Lattice parameters (Å, degrees): 3.577 9.909 5.616 90.00 90.00 90.00
Space group Cmcm (No. 63)
Asymmetric unit:
Zr 0.000 0.222 0.250 (multiplicity 4)
H 0.000 0.321 0.569 (multiplicity 8)
Se 0.000 0.068 0.750 (multiplicity 4)

---

Entry 16:
A relaxed NaSrNiH4 crystal. Source: Alexandria, functional PBE.

Output
* DFT total energy: -3.472 eV/atom
* volume: 12.42 Å³ per atom

Lattice parameters (Å, degrees): 4.997 13.832 5.033 90.00 90.00 90.00
Space group Cmcm (No. 63)
Asymmetric unit:
Na 0.000 0.124 0.250 (multiplicity 4)
Sr 0.000 0.380 0.250 (multiplicity 4)
Ni 0.000 0.251 0.750 (multiplicity 4)
H 0.000 0.133 0.750 (multiplicity 4)
H 0.000 0.373 0.750 (multiplicity 4)
H 0.250 0.250 0.000 (multiplicity 8)

---

Entry 17:
A relaxed Nd3RuAu crystal. Source: Alexandria, functional PBE.

Output
* excess energy over the best structure of this formula in the dataset: 0.000 eV/atom
* ΔE_f: -0.4252 eV per atom
* volume: 27.64 Å³ per atom

Lattice parameters (Å, degrees): 8.917 7.417 8.650 90.00 104.93 90.00
Space group P2_1/c (No. 14)
Asymmetric unit:
Nd 0.041 0.010 0.213 (multiplicity 4)
Nd 0.267 0.648 0.092 (multiplicity 4)
Nd 0.348 0.180 0.987 (multiplicity 4)
Ru 0.068 0.187 0.519 (multiplicity 4)
Au 0.414 0.542 0.809 (multiplicity 4)

---

Entry 18:
A relaxed La2GdAu crystal. Source: Alexandria, functional PBE.

Output
* excess energy over the best structure of this formula in the dataset: 0.000 eV/atom
* ΔE_f: -0.3628 eV per atom
* volume: 31.30 Å³ per atom

Lattice parameters (Å, degrees): 3.782 3.782 8.752 90.00 90.00 90.00
Space group P4/mmm (No. 123)
Asymmetric unit:
La 0.000 0.000 0.211 (multiplicity 2)
Gd 0.500 0.500 0.500 (multiplicity 1)
Au 0.500 0.500 0.000 (multiplicity 1)

---

Entry 19:
A relaxed ScPb2BrCl crystal. Source: Alexandria, functional PBE.

Output
* volume: 34.84 Å³ per atom
* formation energy without anion corrections: -0.303 eV per atom

Lattice parameters (Å, degrees): 5.815 5.815 5.152 90.00 90.00 90.00
Space group P4/mmm (No. 123)
Asymmetric unit:
Sc 0.000 0.000 0.000 (multiplicity 1)
Pb 0.000 0.500 0.000 (multiplicity 2)
Br 0.000 0.000 0.500 (multiplicity 1)
Cl 0.500 0.500 0.500 (multiplicity 1)

---

Entry 20:
A relaxed Tl2HgIr crystal. Source: Alexandria, functional PBE.

Output
* excess energy over the best structure of this formula in the dataset: 0.317 eV/atom
* ΔE_f: 0.5644 eV per atom
* volume: 22.32 Å³ per atom

Lattice parameters (Å, degrees): 7.094 7.094 7.094 90.00 90.00 90.00
Space group Fm-3m (No. 225)
Asymmetric unit:
Tl 0.250 0.250 0.250 (multiplicity 8)
Hg 0.000 0.000 0.000 (multiplicity 4)
Ir 0.000 0.000 0.500 (multiplicity 4)

---

Entry 21:
A relaxed ScMoBr2 crystal. Source: Alexandria, functional PBE.

Output
* excess energy over the best structure of this formula in the dataset: 0.120 eV/atom
* volume: 27.90 Å³ per atom
* formation energy without anion corrections: -0.239 eV per atom

Lattice parameters (Å, degrees): 14.855 3.357 4.488 90.00 94.22 90.00
Space group C2/m (No. 12)
Asymmetric unit:
Sc 0.000 0.000 0.000 (multiplicity 2)
Mo 0.000 0.500 0.500 (multiplicity 2)
Br 0.142 0.500 0.216 (multiplicity 4)

---

Entry 22:
A relaxed PmSm2Mg9 crystal. Source: Alexandria, functional PBE.

Output
* ΔE_f: -0.0592 eV per atom
* volume: 26.19 Å³ per atom

Lattice parameters (Å, degrees): 6.0675 6.0675 29.5741 90.00 90.00 120.00
Space group R-3m (No. 166, hexagonal axes)
Asymmetric unit:
Pm 0.0000 0.0000 0.0000 (multiplicity 3)
Sm 0.0000 0.0000 0.1429 (multiplicity 6)
Mg 0.0000 0.0000 0.3340 (multiplicity 6)
Mg 0.0000 0.0000 0.5000 (multiplicity 3)
Mg 0.0038 0.5019 0.9162 (multiplicity 18)

---

Entry 23:
A relaxed Sr2YCl crystal. Source: Alexandria, functional PBE.

Output
* excess energy over the best structure of this formula in the dataset: 0.035 eV/atom
* volume: 36.30 Å³ per atom
* formation energy without anion corrections: -0.710 eV per atom

Lattice parameters (Å, degrees): 4.269 6.403 10.625 90.00 90.00 90.00
Space group Cmmm (No. 65)
Asymmetric unit:
Sr 0.000 0.000 0.217 (multiplicity 4)
Y 0.000 0.500 0.500 (multiplicity 2)
Cl 0.000 0.500 0.000 (multiplicity 2)

---

Entry 24:
A relaxed MgFeW2 crystal. Source: Alexandria, functional PBE.

Output
* ΔE_f: 0.4277 eV per atom
* volume: 15.29 Å³ per atom

Lattice parameters (Å, degrees): 6.254 6.254 6.254 90.00 90.00 90.00
Space group F-43m (No. 216)
Asymmetric unit:
Mg 0.000 0.000 0.000 (multiplicity 4)
Fe 0.250 0.250 0.250 (multiplicity 4)
W 0.000 0.000 0.500 (multiplicity 4)
W 0.250 0.250 0.750 (multiplicity 4)

---

Entry 25:
A relaxed Zr2ScOs crystal. Source: Alexandria, functional PBE.

Output
* ΔE_f: -0.0686 eV per atom
* volume: 19.51 Å³ per atom

Lattice parameters (Å, degrees): 4.745 3.440 4.779 90.00 90.33 90.00
Space group P2/m (No. 10)
Asymmetric unit:
Zr 0.000 0.000 0.000 (multiplicity 1)
Zr 0.500 0.500 0.000 (multiplicity 1)
Sc 0.000 0.500 0.500 (multiplicity 1)
Os 0.500 0.000 0.500 (multiplicity 1)